A relaxed Ba2ZnGaAu6 crystal, computed with PBE.

Cell and atoms, written as POSCAR:
```
Ba2ZnGaAu6
1.0
7.255 0.014 0.186
-0.002 6.928 0.003
3.746 3.478 5.126
Ba Zn Ga Au
2 1 1 6
Cartesian
6.847 3.475 2.375
4.152 6.945 2.941
0.000 0.000 0.000
3.626 3.471 0.095
3.110 3.478 2.600
8.895 8.960 4.866
2.113 5.482 0.469
8.887 4.938 4.847
2.104 1.459 0.450
7.890 6.942 2.716
```

Output
Formation enthalpy at 0 K   -515 meV/atom
E   -3.296 eV per atom
Space-group type   P-1, No. 2
Magnetization   0.00 μB/f.u.